{
  "formula": "GdMnO2",
  "functional": "PBE with a Hubbard U",
  "state": "optimized geometry",
  "cell": [[-3.260, -0.188, -1.624], [-1.008, -3.055, -1.718], [-3.796, -3.107, 3.882]],
  "species": ["Gd", "O", "O", "Mn"],
  "frac_coords": [[0.500, 0.500, 0.500], [0.109, 0.109, 0.674], [0.891, 0.891, 0.326], [0.000, 0.000, 0.000]],
  "total_energy_ev_per_atom": -10.241,
  "m_tot_mub_per_fu": 3.0
}